# 1
19
Lattice="5.2767 0.0000 -1.4968 -0.7094 8.1251 -2.5009 0.1113 -0.4485 10.4416" Properties=species:S:1:pos:R:3 comment="Rb8B3O8 (PBE, relaxed)" formation_energy_uncorrected_ev_per_fu=-34.1 sg="C2/m, No. 12" vol_a3_per_cell=442.63 crystal_system=monoclinic pbc="T T T"
Rb 0.5213 6.3897 1.8378
O 2.2377 4.7562 7.8884
O 0.7439 2.6009 2.6223
Rb 4.1573 1.2870 4.6061
O 3.9347 5.0757 3.8216
Rb 0.0132 1.8899 0.0467
B 2.2836 4.0626 -1.9989
O 4.0258 7.4975 4.1426
Rb 1.3951 4.0165 4.9181
Rb 4.6654 5.7867 6.3972
O 1.2713 1.1054 4.4815
Rb 2.0524 0.1919 7.2352
O 0.6528 0.1791 2.3014
B 0.8887 1.3051 3.1327
Rb 2.6262 7.4848 -0.7913
B 3.7900 6.3715 3.3112
O 2.4409 2.9204 -1.4445
O 3.4073 6.5712 1.9624
Rb 3.2835 3.6601 1.5258



# 2
9
Lattice="-4.4642 1.7609 -3.7432 -5.5181 -1.0158 0.9299 -0.1268 5.3409 2.7450" Properties=species:S:1:pos:R:3 comment="RbReBO6 (PBE, relaxed)" formation_energy_uncorrected_ev_per_fu=-14.7 sg="P1, No. 1" vol_a3_per_cell=171.89 crystal_system=triclinic pbc="T T T"
Re -3.2384 3.1714 0.4384
Rb -4.5240 1.8706 -3.6622
O -3.8606 2.7377 2.3557
O -4.3156 4.5262 0.4391
O -4.2368 1.6950 -0.1477
O -8.1390 2.2353 -0.4931
O -1.6705 3.7223 0.9939
O -2.6086 1.1704 1.2008
B -7.8425 3.2140 -1.3971



# 3
11
Lattice="-4.4138 -2.0407 2.2541 4.7209 -0.4046 2.5055 -2.7752 6.6322 0.5701" Properties=species:S:1:pos:R:3 comment="Rb2B2SbO6 (PBE, relaxed)" formation_energy_uncorrected_ev_per_fu=-21.2 sg="R-3m, No. 166" vol_a3_per_cell=162.09 crystal_system=trigonal pbc="T T T"
O -2.8950 2.9227 3.3493
Rb -0.9635 4.9829 2.6244
O -4.1250 0.3226 2.0893
O 0.4269 1.2642 1.9804
Sb -3.5945 2.2957 1.4121
O -1.6991 1.4442 0.8503
Rb -1.5046 -0.7960 2.7053
B -2.1270 2.4269 4.4043
B -0.3411 1.7600 0.9254
O -0.7690 2.7427 4.4794
O 1.6569 3.8643 3.2405



# 4
12
Lattice="-1.8478 1.8459 4.8399 3.2665 -4.4203 -0.1917 5.6972 4.1850 0.5790" Properties=species:S:1:pos:R:3 comment="Rb3ScB2O6 (PBE, relaxed)" formation_energy_uncorrected_ev_per_fu=-28.7 sg="P-3m1, No. 164" vol_a3_per_cell=185.79 crystal_system=trigonal pbc="T T T"
Rb 0.0000 0.0000 0.0000
Rb 5.8715 0.8342 1.9235
Sc 2.8486 2.0925 0.2895
O 3.3437 -1.0834 3.0684
O 2.9570 3.5084 4.2941
Rb 1.2444 0.7764 3.3037
O 2.7178 0.0524 1.0176
O 4.3981 1.5582 4.2095
B 3.6989 2.5793 3.5531
O 3.7722 2.6940 2.1588
B 3.4171 -0.9687 1.6740
O 4.1589 -1.8978 0.9330



# 5
20
Lattice="6.4071 0.1097 0.1525 -1.4372 6.2447 0.1525 -1.4372 -1.8377 5.9702" Properties=species:S:1:pos:R:3 comment="RbSc3B4O12 (PBE, relaxed)" formation_energy_uncorrected_ev_per_fu=-52.6 sg="R32, No. 155" vol_a3_per_cell=243.35 crystal_system=trigonal pbc="T T T"
O 0.8905 5.7605 1.5696
O -1.8436 2.2646 4.7055
O 2.6421 4.8569 0.3143
B -1.7496 1.3856 5.7451
O 0.6683 3.1172 3.1375
O 4.0772 -0.8874 3.6411
B 5.2822 -0.4914 3.1375
O 5.3762 0.7735 2.6340
Rb 0.0000 0.0000 0.0000
B 1.7663 2.2584 3.1375
O -1.4693 4.7890 3.1375
O 5.0019 3.0617 0.7378
Sc -1.4372 2.6508 2.7394
O 2.8643 2.5310 2.3232
O 1.7663 1.1271 3.9519
O -0.5446 0.7823 5.9608
Sc 2.0508 -0.9717 3.3833
O 1.7663 -1.0754 5.5373
Sc 2.9190 2.8377 0.1525
B 1.7663 5.8810 0.5300



# 6
64
Lattice="-3.3989 -2.1252 2.5202 7.1762 0.3228 9.9504 -6.3091 14.9126 4.0663" Properties=species:S:1:pos:R:3 comment="RbB2Se3O10 (PBE, relaxed)" formation_energy_uncorrected_ev_per_fu=-21.3 sg="P2_12_12_1, No. 19" vol_a3_per_cell=970.15 crystal_system=orthorhombic pbc="T T T"
Se -5.9586 9.9668 4.4747
O -5.0787 8.3817 8.0161
O 0.1901 12.2207 11.6600
Se -3.4085 11.6737 13.4199
O -0.4646 2.9850 7.2169
O 1.5483 6.4151 7.5506
Se -2.8410 10.4597 9.7786
B 4.1002 6.2058 11.4374
O -0.4913 7.2614 8.9536
B -0.4019 -0.4135 7.3309
Se 0.2779 7.4689 7.3644
O -3.5294 10.1627 8.1704
O -3.0263 8.9707 3.6197
B -1.3007 4.8920 3.0705
O 2.7877 3.7959 7.0481
O -4.6094 11.5082 12.2473
Rb -1.0290 1.1201 3.8540
B -6.9019 12.6221 5.1088
Se 2.0348 -0.7298 5.8855
O 0.5781 5.4039 13.2775
O 4.1351 2.3248 8.3631
Se -2.2890 8.8923 5.1346
B -1.8599 7.8061 9.1969
Rb 1.0488 4.5067 9.8138
O 2.4318 0.3573 4.5362
Se 3.3181 0.8809 8.9426
Se -1.5995 2.0828 8.1535
O -2.6336 7.8685 7.9788
O -4.5047 12.7784 9.0953
O -3.7408 8.9487 6.1232
Se -9.3257 12.9464 6.5447
O -4.0885 9.8235 10.7876
O 0.3330 -0.3841 8.5740
O 2.7179 5.8135 11.8261
O -6.3095 11.2981 5.5795
O 1.0853 3.0967 12.8577
B -3.6542 8.7852 7.6275
O -2.0104 11.6149 12.3569
O -4.6269 10.6067 3.5824
Rb -6.6750 10.8383 8.8824
O -2.1287 5.9292 2.5763
O -0.0987 10.4964 13.2536
O -0.6342 12.8068 13.9448
O -7.5821 13.1977 6.3067
O -2.4519 6.9640 10.2721
O 1.8024 2.6590 4.7865
O -5.7211 13.4907 4.8500
O -1.9012 4.0294 4.1833
O 1.7264 1.5887 9.2145
Se 1.9496 6.5349 13.2794
O 4.0708 0.7661 10.4476
B 0.5079 0.6982 9.4704
O -1.4985 4.9755 6.7594
O 0.3916 -0.0477 6.1257
O -3.2742 -0.8669 3.6966
Se -2.6840 4.7735 5.5768
Se 5.3356 3.7112 10.6672
O 1.1671 7.8938 12.7315
O -3.4474 3.3321 6.2308
B -0.6164 11.8450 12.9056
O -1.6416 9.1665 9.8503
Rb 1.5917 9.7554 10.5238
O -4.2231 1.7654 4.6019
O 4.1166 2.8051 11.4870